No. 1
Density functional theory data (PBE) for a relaxed structure of CrP2Au.

Computed properties:
- ΔH_f (0 K) (eV/atom) = 0.4012
- size of the total moment (μB per formula unit) = 2.86
- energy above the lowest structure with this stoichiometry (eV per atom) = 0.3880

```
CrP2Au
1.0
3.264 -2.965 -0.241
0.161 -3.346 2.878
-0.852 -4.117 -1.351
Cr Au P
1 1 2
direct
0.000 0.000 0.000
0.500 0.500 0.500
0.250 0.250 0.250
0.750 0.750 0.750
```

No. 2
Density functional theory data (PBE) for a relaxed structure of CsLiGa2Te4.

Computed properties:
- formation energy from raw total energies (eV per formula unit) = -3.45
- size of the total moment (μB per formula unit) = 0.00

```
CsLiGa2Te4
1.0
6.972 0.000 0.000
3.486 6.892 -0.026
3.486 0.539 6.871
Cs Li Ga Te
1 1 2 4
direct
0.000 0.000 0.000
0.500 0.500 0.500
0.153 0.347 0.347
0.847 0.653 0.653
0.441 0.157 0.495
0.093 0.843 0.505
0.907 0.495 0.157
0.559 0.505 0.843
```

No. 3
Density functional theory data (PBE) for a relaxed structure of SrPr2SmS4.

Computed properties:
- formation energy from raw total energies (eV per formula unit) = -16.18
- size of the total moment (μB per formula unit) = 0.00

```
SrPr2SmS4
1.0
4.089 0.000 0.000
0.000 7.147 -0.170
0.000 2.489 6.679
Sr Pr Sm S
1 2 1 4
direct
0.500 0.500 0.000
0.000 0.000 0.000
0.500 0.000 0.500
0.000 0.500 0.500
0.000 0.750 0.744
0.000 0.250 0.256
0.500 0.745 0.257
0.500 0.255 0.743
```

No. 4
Density functional theory data (PBE) for a relaxed structure of Mn2TeOs.

Computed properties:
- formation energy from raw total energies (eV per formula unit) = 2.15
- size of the total moment (μB per formula unit) = 5.51

```
Mn2TeOs
1.0
4.596 -0.004 0.004
3.574 2.890 0.004
0.817 0.289 4.739
Mn Os Te
2 1 1
direct
0.993 0.993 0.031
0.507 0.507 0.469
0.250 0.250 0.250
0.750 0.750 0.750
```